VASP calculation (PBE) on a relaxed Tc2NiC crystal.

Summary:
Energy of formation from the pure elements   0.91 eV per atom
Symmetry   No. 122

Lattice parameters (Å, degrees): 4.960 4.960 5.962 65.42 65.42 90.00
Sites, in units of the cell vectors:
Ni1 0.000 0.000 0.000
Ni2 0.750 0.250 0.500
C1 0.500 0.500 0.000
C2 0.250 0.750 0.500
Tc1 0.559 0.125 0.250
Tc2 0.191 0.625 0.250
Tc3 0.375 0.441 0.750
Tc4 0.875 0.809 0.750

---

VASP calculation (PBE) on a relaxed TcNi2C2 crystal.

Summary:
Energy of formation from the pure elements   0.69 eV per atom
ΔE to the lowest computed polymorph   0 meV per atom
Symmetry   No. 139

Lattice parameters (Å, degrees): 3.363 3.363 4.669 68.89 68.89 90.00
Sites, in units of the cell vectors:
Ni1 0.750 0.250 0.500
Ni2 0.250 0.750 0.500
C1 0.408 0.408 0.183
C2 0.592 0.592 0.817
Tc1 0.000 0.000 0.000

---

VASP calculation (PBE) on a relaxed Tc2NiC crystal.

Summary:
Energy of formation from the pure elements   0.61 eV per atom
Symmetry   No. 166

Lattice parameters (Å, degrees): 2.795 2.795 7.702 79.55 79.55 60.00
Each line ends with the local moment (μB).
Sites, in units of the cell vectors:
Ni1 0.000 0.000 0.000  0.10
C1 0.500 0.500 0.500  0.00
Tc1 0.108 0.108 0.676  0.01
Tc2 0.892 0.892 0.324  0.01

---

VASP calculation (PBE) on a relaxed TcNiTe2C crystal.

Summary:
Symmetry   No. 123
ΔE_f (raw)   1.031 eV per atom

Lattice parameters (Å, degrees): 5.284 3.782 5.284 90.00 90.00 90.00
Each line ends with the local moment (μB).
Sites, in units of the cell vectors:
Ni1 0.500 0.500 0.500  0.43
C1 0.000 0.500 0.000  0.03
Te1 0.000 0.000 0.500  0.01
Te2 0.500 0.000 0.000  0.00
Tc1 0.000 0.000 0.000  -0.01

---

VASP calculation (PBE) on a relaxed YTcNi2C crystal.

Summary:
Energy of formation from the pure elements   -0.15 eV per atom
Symmetry   No. 123

Lattice parameters (Å, degrees): 4.022 4.022 4.124 90.00 90.00 90.00
Sites, in units of the cell vectors:
Y1 0.500 0.500 0.500
Ni1 0.000 0.500 0.000
Ni2 0.500 0.000 0.000
C1 0.000 0.000 0.000
Tc1 0.000 0.000 0.500

---

VASP calculation (PBE) on a relaxed Y2TcNiC crystal.

Summary:
Energy of formation from the pure elements   -0.14 eV per atom
Symmetry   No. 123

Lattice parameters (Å, degrees): 4.900 4.900 3.911 90.00 90.00 90.00
Sites, in units of the cell vectors:
Y1 0.000 0.500 0.000
Y2 0.500 0.000 0.000
Ni1 0.500 0.500 0.500
C1 0.000 0.000 0.000
Tc1 0.000 0.000 0.500

---

Ρ for the records above, in order: 7.47, 8.75, 8.69, 6.67, 7.87, 6.13 Mg/m³